[1]
! ZrReOs2 meta-GGA SCAN single point on PBEsol structure; values from VASP
! final energy	-245.19	eV/cell
! theoretical density	17443	kg/m3
! SG	Imm2, No. 44
&SYSTEM
  ibrav = 0, nat = 4, ntyp = 3
/
ATOMIC_SPECIES
Os 190.23 Os.upf
Re 186.21 Re.upf
Zr 91.22 Zr.upf
ATOMIC_POSITIONS angstrom
Os 0.000 0.000 0.049
Os 0.000 2.231 2.153
Re 0.000 0.000 4.444
Zr 1.577 0.000 2.253
CELL_PARAMETERS angstrom
3.154 0.000 0.000
0.000 4.463 0.000
-1.577 -2.231 4.450

---

[2]
! ZrReOs2 meta-GGA SCAN single point on PBEsol structure; values from VASP
! final energy	-245.58	eV/cell
! theoretical density	17564	kg/m3
! SG	P4/mmm, No. 123
&SYSTEM
  ibrav = 0, nat = 4, ntyp = 3
/
ATOMIC_SPECIES
Os 190.23 Os.upf
Re 186.21 Re.upf
Zr 91.22 Zr.upf
ATOMIC_POSITIONS angstrom
Os 1.759 -0.788 0.540
Os 0.504 -0.196 -1.927
Re 1.476 -2.758 -1.412
Zr -0.787 -1.774 -0.025
CELL_PARAMETERS angstrom
-1.573 -3.547 -0.050
1.008 -0.392 -3.854
3.518 -1.576 1.080

---

[3]
! ZrReOs2 meta-GGA SCAN single point on PBEsol structure; values from VASP
! final energy	-245.34	eV/cell
! theoretical density	17499	kg/m3
! SG	I-4m2, No. 119
&SYSTEM
  ibrav = 0, nat = 4, ntyp = 3
/
ATOMIC_SPECIES
Os 190.23 Os.upf
Re 186.21 Re.upf
Zr 91.22 Zr.upf
ATOMIC_POSITIONS angstrom
Os 0.000 0.000 0.000
Os 1.954 0.000 2.044
Re 1.954 1.954 0.000
Zr 0.000 1.954 2.044
CELL_PARAMETERS angstrom
3.908 0.000 0.000
0.000 3.908 0.000
-1.954 -1.954 4.087

---

[4]
! ZrRe2Os meta-GGA SCAN single point on PBEsol structure; values from VASP
! final energy	-244.32	eV/cell
! theoretical density	17223	kg/m3
! SG	I-4m2, No. 119
&SYSTEM
  ibrav = 0, nat = 4, ntyp = 3
/
ATOMIC_SPECIES
Os 190.23 Os.upf
Re 186.21 Re.upf
Zr 91.22 Zr.upf
ATOMIC_POSITIONS angstrom
Os 2.471 0.169 1.285
Re 0.000 0.000 0.000
Re 0.738 2.449 1.114
Zr 0.163 0.337 2.844
CELL_PARAMETERS angstrom
-1.569 2.617 2.673
1.895 -1.943 3.015
2.883 1.944 -3.289

---

Number 1: energy relative to the elements 0.09 eV/atom. Number 2: energy relative to the elements -0.01 eV/atom. Number 3: energy relative to the elements 0.05 eV/atom. Number 4: energy relative to the elements 0.11 eV/atom.